AcAlSb2 | PBE | optimized geometry

abc: 4.917 4.917 4.674
angles: 90.00 90.00 90.00
Space group P4/mmm (No. 123)
Asymmetric unit:
Ac  0.000  0.000  0.000 (multiplicity 1)
Al  0.500  0.500  0.000 (multiplicity 1)
Sb  0.000  0.500  0.500 (multiplicity 2)

Total magnetic moment in μB per cell: 0.00
Formation energy from raw total energies in meV per atom: -459
Distance to the lowest polymorph of the same formula in eV/atom: 0.000
Calculated volume in Å³/atom: 28.25